Entry 1:
Here is crystalline Y2AlSi2 at its relaxed geometry from Alexandria. Energies are from PBE-GGA.

Lattice parameters (Å, degrees): 9.1580 9.1580 9.1580 157.58 157.58 31.91
With the nearest neighbours (Å) after each atom.
Fractional positions:
Y1 0.1121 0.1121 0.0000  4 Si 3.01, 4 Al 3.20
Y2 0.8879 0.8879 0.0000  4 Si 3.01, 4 Al 3.20
Al1 0.5000 0.5000 0.0000  8 Y 3.20, 4 Al 3.56
Si1 0.2500 0.7500 0.5000  4 Si 2.52
Si2 0.7500 0.2500 0.5000  4 Si 2.52

## Properties
Fermi-level density of states: 4.1 states/eV/cell
M_tot: 0.00 Bohr magnetons per cell
Raw formation energy: -1.7 eV/f.u.


Entry 2:
Here is crystalline Y3AlSi2 at its relaxed geometry from Alexandria. Energies are from PBE-GGA.

Lattice parameters (Å, degrees): 11.5038 4.1511 11.5715 90.00 90.00 90.00
With the nearest neighbours (Å) after each atom.
Fractional positions:
Y1 0.0567 0.2500 0.1187  5 Si 2.94-3.11, 1 Al 3.02
Y2 0.1255 0.7500 0.5632  5 Si 3.03-3.09, 3 Al 3.07-3.09
Y3 0.1984 0.2500 0.8004  4 Si 2.89-3.20, 2 Al 2.94
Y4 0.3016 0.7500 0.3004  4 Si 2.89-3.20, 2 Al 2.94
Y5 0.3745 0.2500 0.0632  5 Si 3.03-3.09, 3 Al 3.07-3.09
Y6 0.4433 0.7500 0.6187  5 Si 2.94-3.11, 1 Al 3.02
Y7 0.5567 0.2500 0.3813  5 Si 2.94-3.11, 1 Al 3.02
Y8 0.6255 0.7500 0.9368  5 Si 3.03-3.09, 3 Al 3.07-3.09
Y9 0.6984 0.2500 0.6996  4 Si 2.89-3.20, 2 Al 2.94
Y10 0.8016 0.7500 0.1996  4 Si 2.89-3.20, 2 Al 2.94
Y11 0.8745 0.2500 0.4368  5 Si 3.03-3.09, 3 Al 3.07-3.09
Y12 0.9433 0.7500 0.8813  5 Si 2.94-3.11, 1 Al 3.02
Al1 0.1342 0.2500 0.3684  3 Si 2.51-2.52
Al2 0.3658 0.7500 0.8684  3 Si 2.51-2.52
Al3 0.6342 0.2500 0.1316  3 Si 2.51-2.52
Al4 0.8658 0.7500 0.6316  3 Si 2.51-2.52
Si1 0.0238 0.7500 0.3160  2 Al 2.51
Si2 0.1878 0.7500 0.9948  1 Al 2.52
Si3 0.3122 0.2500 0.4948  1 Al 2.52
Si4 0.4762 0.2500 0.8160  2 Al 2.51
Si5 0.5238 0.7500 0.1840  2 Al 2.51
Si6 0.6878 0.7500 0.5052  1 Al 2.52
Si7 0.8122 0.2500 0.0052  1 Al 2.52
Si8 0.9762 0.2500 0.6840  2 Al 2.51

## Properties
Fermi-level density of states: 15.3 states/eV/cell
M_tot: 0.00 Bohr magnetons per cell
Raw formation energy: -4.0 eV/f.u.


Entry 3:
Here is crystalline Y2AlSi3 at its relaxed geometry from Alexandria. Energies are from PBE-GGA.

Lattice parameters (Å, degrees): 8.2160 8.1301 5.7790 70.09 68.50 41.40
With the nearest neighbours (Å) after each atom.
Fractional positions:
Y1 0.2463 0.7537 0.7537  10 Si 3.05-3.15, 2 Al 3.10
Y2 0.2500 0.2500 0.2500  8 Si 3.09-3.13, 4 Al 3.13
Y3 0.7500 0.7500 0.7500  8 Si 3.09-3.13, 4 Al 3.13
Y4 0.7537 0.2463 0.2463  10 Si 3.05-3.15, 2 Al 3.10
Al1 0.3342 0.3342 0.6658  3 Si 2.40
Al2 0.6658 0.6658 0.3342  3 Si 2.40
Si1 0.1648 0.1648 0.8352  2 Si 2.37, 1 Al 2.40
Si2 0.1649 0.6681 0.3319  2 Si 2.36-2.37, 1 Al 2.40
Si3 0.3319 0.8351 0.1649  2 Si 2.36-2.37, 1 Al 2.40
Si4 0.6681 0.1649 0.8351  2 Si 2.36-2.37, 1 Al 2.40
Si5 0.8351 0.3319 0.6681  2 Si 2.36-2.37, 1 Al 2.40
Si6 0.8352 0.8352 0.1648  2 Si 2.37, 1 Al 2.40

## Properties
Fermi-level density of states: 5.3 states/eV/cell
M_tot: 0.00 Bohr magnetons per cell
Raw formation energy: -3.3 eV/f.u.


Entry 4:
Here is crystalline YAlSi3 at its relaxed geometry from Alexandria. Energies are from PBE-GGA.

Lattice parameters (Å, degrees): 5.3024 5.3024 5.3024 90.00 90.00 90.00
With the nearest neighbours (Å) after each atom.
Fractional positions:
Y1 0.0000 0.0000 0.0000  6 Si 2.65
Al1 0.5000 0.5000 0.5000  12 Si 3.75
Si1 0.0000 0.0000 0.5000  2 Y 2.65
Si2 0.0000 0.5000 0.0000  2 Y 2.65
Si3 0.5000 0.0000 0.0000  2 Y 2.65

## Properties
Fermi-level density of states: 1.9 states/eV/cell
M_tot: 0.00 Bohr magnetons per cell
Raw formation energy: 5.8 eV/f.u.


Entry 5:
Here is crystalline YAlSi2 at its relaxed geometry from Alexandria. Energies are from PBE-GGA.

Lattice parameters (Å, degrees): 3.4307 3.4307 6.3142 90.00 90.00 90.00
With the nearest neighbours (Å) after each atom.
Fractional positions:
Y1 0.0000 0.0000 0.0000  6 Si 2.99-3.32, 4 Al 3.14
Al1 0.5000 0.5000 0.3146  1 Si 2.47
Si1 0.0000 0.0000 0.5262  4 Si 2.68, 4 Al 2.77, 1 Y 2.99
Si2 0.5000 0.5000 0.7059  1 Al 2.47, 4 Si 2.68

## Properties
Fermi-level density of states: 2.2 states/eV/cell
M_tot: 0.00 Bohr magnetons per cell
Raw formation energy: -0.8 eV/f.u.


Entry 6:
Here is crystalline Y2AlSi2 at its relaxed geometry from Alexandria. Energies are from PBE-GGA.

Lattice parameters (Å, degrees): 5.6076 5.6076 5.6076 137.27 118.53 77.75
With the nearest neighbours (Å) after each atom.
Fractional positions:
Y1 0.2104 0.2104 0.0000  6 Si 3.00-3.02, 2 Al 3.25
Y2 0.7896 0.7896 0.0000  6 Si 3.00-3.02, 2 Al 3.25
Al1 0.5000 0.0000 0.5000  4 Si 2.63
Si1 0.2106 0.5000 0.7106  1 Si 2.41, 2 Al 2.63
Si2 0.7894 0.5000 0.2894  1 Si 2.41, 2 Al 2.63

## Properties
Fermi-level density of states: 2.7 states/eV/cell
M_tot: 0.00 Bohr magnetons per cell
Raw formation energy: -3.7 eV/f.u.